Ti3Si23 | PBE | relaxed

```
Ti3Si23
1.0
10.1052 0.0000 0.0000
0.0000 10.1052 0.0000
0.0000 0.0000 10.1052
Ti Si
6 46
Cartesian
2.5263 5.0526 0.0000 Ti
7.5789 5.0526 0.0000 Ti
5.0526 0.0000 2.5263 Ti
5.0526 0.0000 7.5789 Ti
0.0000 2.5263 5.0526 Ti
0.0000 7.5789 5.0526 Ti
2.5263 0.0000 5.0526 Si
7.5789 0.0000 5.0526 Si
0.0000 5.0526 2.5263 Si
0.0000 5.0526 7.5789 Si
5.0526 2.5263 0.0000 Si
5.0526 7.5789 0.0000 Si
6.9136 6.9136 6.9136 Si
6.9136 3.1917 3.1917 Si
3.1917 6.9136 3.1917 Si
3.1917 3.1917 6.9136 Si
8.2443 8.2443 8.2443 Si
8.2443 1.8609 1.8609 Si
1.8609 8.2443 1.8609 Si
1.8609 1.8609 8.2443 Si
3.1917 3.1917 3.1917 Si
3.1917 6.9136 6.9136 Si
6.9136 3.1917 6.9136 Si
6.9136 6.9136 3.1917 Si
1.8609 1.8609 1.8609 Si
1.8609 8.2443 8.2443 Si
8.2443 1.8609 8.2443 Si
8.2443 8.2443 1.8609 Si
0.0000 6.9647 8.9323 Si
0.0000 3.1406 1.1729 Si
0.0000 6.9647 1.1729 Si
0.0000 3.1406 8.9323 Si
6.9647 8.9323 0.0000 Si
6.9647 1.1729 0.0000 Si
3.1406 8.9323 0.0000 Si
3.1406 1.1729 0.0000 Si
8.9323 0.0000 6.9647 Si
8.9323 0.0000 3.1406 Si
1.1729 0.0000 3.1406 Si
1.1729 0.0000 6.9647 Si
8.1932 5.0526 6.2255 Si
8.1932 5.0526 3.8797 Si
1.9121 5.0526 3.8797 Si
1.9121 5.0526 6.2255 Si
5.0526 6.2255 8.1932 Si
5.0526 3.8797 1.9121 Si
5.0526 6.2255 1.9121 Si
5.0526 3.8797 8.1932 Si
6.2255 8.1932 5.0526 Si
6.2255 1.9121 5.0526 Si
3.8797 8.1932 5.0526 Si
3.8797 1.9121 5.0526 Si
```

Calculated values
uncorrected formation energy = 8.94 eV/f.u.
final energy = -5.365 eV per atom